# PBE CaPb3N, optimized geometry
data_CaPb3N
_chemical_formula_sum 'Ca1 Pb3 N1'
_symmetry_space_group_name_H-M 'P m -3 m'
_symmetry_Int_Tables_number 221
_symmetry_space_group_name_Hall '-P 4 2 3'
_cell_length_a 5.1260
_cell_length_b 5.1260
_cell_length_c 5.1260
_cell_angle_alpha 90.00
_cell_angle_beta 90.00
_cell_angle_gamma 90.00
loop_
_atom_site_label
_atom_site_type_symbol
_atom_site_fract_x
_atom_site_fract_y
_atom_site_fract_z
Ca1 Ca 0.0000 0.0000 0.0000
Pb1 Pb 0.0000 0.5000 0.5000
N1 N 0.5000 0.5000 0.5000
# theoretical density: 8330 kg/m³
# formation energy without anion corrections: 1.60 eV per formula unit

---

# PBE SbOsW2, optimized geometry
data_SbOsW2
_chemical_formula_sum 'Sb1 Os1 W2'
_symmetry_space_group_name_H-M 'P m m m'
_symmetry_Int_Tables_number 47
_cell_length_a 2.9369
_cell_length_b 4.2344
_cell_length_c 5.3814
_cell_angle_alpha 90.00
_cell_angle_beta 90.00
_cell_angle_gamma 90.00
loop_
_symmetry_equiv_pos_as_xyz
'x,y,z'
'-x,-y,-z'
'-x,-y,z'
'x,y,-z'
'x,-y,-z'
'-x,y,z'
'-x,y,-z'
'x,-y,z'
loop_
_atom_site_label
_atom_site_type_symbol
_atom_site_fract_x
_atom_site_fract_y
_atom_site_fract_z
Sb1 Sb 0.0000 0.0000 0.0000
Os1 Os 0.0000 0.0000 0.5000
W1 W 0.5000 0.5000 0.2603
# theoretical density: 16865 kg/m³
# formation energy without anion corrections: 1.96 eV per formula unit

---

# PBE La4Pm5Y2, optimized geometry
data_La4Pm5Y2
_chemical_formula_sum 'La8 Pm10 Y4'
_symmetry_space_group_name_H-M 'I m m m'
_symmetry_Int_Tables_number 71
_symmetry_space_group_name_Hall '-I 2 2'
_cell_length_a 3.5557
_cell_length_b 9.4796
_cell_length_c 23.3270
_cell_angle_alpha 90.00
_cell_angle_beta 90.00
_cell_angle_gamma 90.00
loop_
_atom_site_label
_atom_site_type_symbol
_atom_site_fract_x
_atom_site_fract_y
_atom_site_fract_z
La1 La 0.0000 0.0000 0.0938
La2 La 0.0000 0.2910 0.5000
Pm1 Pm 0.0000 0.1999 0.3499
Pm2 Pm 0.0000 0.5000 0.0000
Y1 Y 0.0000 0.0000 0.2284
# theoretical density: 6160 kg/m³
# ΔH_f (0 K): 0.2427 eV/atom

---

# PBE BOsSeN2, optimized geometry
data_BOsSeN2
_chemical_formula_sum 'B1 Os1 Se1 N2'
_symmetry_space_group_name_H-M 'P 4/m m m'
_symmetry_Int_Tables_number 123
_symmetry_space_group_name_Hall '-P 4 2'
_cell_length_a 3.5202
_cell_length_b 3.5202
_cell_length_c 4.3364
_cell_angle_alpha 90.00
_cell_angle_beta 90.00
_cell_angle_gamma 90.00
loop_
_atom_site_label
_atom_site_type_symbol
_atom_site_fract_x
_atom_site_fract_y
_atom_site_fract_z
B1 B 0.0000 0.0000 0.0000
Os1 Os 0.5000 0.5000 0.5000
Se1 Se 0.0000 0.0000 0.5000
N1 N 0.0000 0.5000 0.0000
# theoretical density: 9518 kg/m³
# formation energy without anion corrections: 9.49 eV per formula unit

---

# PBE Al2RuAu, optimized geometry
data_Al2RuAu
_chemical_formula_sum 'Al8 Ru4 Au4'
_symmetry_space_group_name_H-M 'F -4 3 m'
_symmetry_Int_Tables_number 216
_symmetry_space_group_name_Hall 'F -4 2 3'
_cell_length_a 6.2798
_cell_length_b 6.2798
_cell_length_c 6.2798
_cell_angle_alpha 90.00
_cell_angle_beta 90.00
_cell_angle_gamma 90.00
loop_
_atom_site_label
_atom_site_type_symbol
_atom_site_fract_x
_atom_site_fract_y
_atom_site_fract_z
Al1 Al 0.0000 0.0000 0.0000
Al2 Al 0.2500 0.2500 0.2500
Ru1 Ru 0.0000 0.0000 0.5000
Au1 Au 0.2500 0.2500 0.7500
# theoretical density: 9441 kg/m³
# ΔH_f (0 K): -0.0579 eV/atom

---

# PBE NbAl2CdS, optimized geometry
data_NbAl2CdS
_chemical_formula_sum 'Nb1 Al2 Cd1 S1'
_symmetry_space_group_name_H-M 'P 4/m m m'
_symmetry_Int_Tables_number 123
_symmetry_space_group_name_Hall '-P 4 2'
_cell_length_a 4.8935
_cell_length_b 4.8935
_cell_length_c 4.9613
_cell_angle_alpha 90.00
_cell_angle_beta 90.00
_cell_angle_gamma 90.00
loop_
_atom_site_label
_atom_site_type_symbol
_atom_site_fract_x
_atom_site_fract_y
_atom_site_fract_z
Nb1 Nb 0.0000 0.0000 0.0000
Al1 Al 0.0000 0.5000 0.5000
Cd1 Cd 0.5000 0.5000 0.5000
S1 S 0.5000 0.5000 0.0000
# theoretical density: 4072 kg/m³
# formation energy without anion corrections: 6.66 eV per formula unit